Material: Ba6AuBr3N2
Method: DFT, PBE
State: optimized geometry

Unit cell a=7.591 b=7.591 c=8.454 alpha=98.91 beta=98.91 gamma=119.76
Site moments in Bohr magnetons follow the coordinates.
Fractional coordinates of all 12 atoms:
1 Ba 0.937 0.561 0.805  0.08
2 Ba 0.689 0.689 0.194  0.09
3 Ba 0.311 0.311 0.806  0.09
4 Ba 0.063 0.439 0.195  0.08
5 Ba 0.439 0.063 0.195  0.08
6 Ba 0.561 0.937 0.805  0.08
7 Au 0.000 0.000 0.000  0.10
8 Br 0.500 0.500 0.500  0.01
9 Br 0.841 0.159 0.500  0.01
10 Br 0.159 0.841 0.500  0.01
11 N 0.669 0.331 0.000  0.01
12 N 0.331 0.669 0.000  0.01

Results
Total magnetization   2.0 μB per formula unit
Final energy   -4.15 eV/atom
Space group   C2/m (12)